No. 1
CaZrTa2 | PBE-GGA | relaxed

Cell lengths 2.937, 2.937, 10.255 Å; angles 90.00, 90.00, 90.00 degrees
Atoms (fractional coordinates):
Ca (0.500, 0.500, 0.750)
Zr (0.500, 0.500, 0.250)
Ta (0.000, 0.000, 0.022)
Ta (0.000, 0.000, 0.478)

Results
The size of the total moment is 0.000 μB per cell. The energy relative to the elements is 0.48 eV/atom. As for the space-group type: P4/mmm (123). The total energy comes out at -8.085 eV/atom.

No. 2
Ca2ZrTa | PBE-GGA | relaxed

Cell lengths 3.701, 3.701, 8.498 Å; angles 90.00, 90.00, 90.00 degrees
Atoms (fractional coordinates):
Ca (0.000, 0.000, 0.951)
Ca (0.500, 0.500, 0.304)
Zr (0.500, 0.500, 0.686)
Ta (0.000, 0.000, 0.559)

Results
The size of the total moment is 0.000 μB per cell. The energy relative to the elements is 0.33 eV/atom. As for the space-group type: P4mm (99). The total energy comes out at -5.769 eV/atom.

No. 3
CaZrTa2 | PBE-GGA | relaxed

Cell lengths 4.735, 3.032, 6.576 Å; angles 77.22, 90.00, 90.00 degrees
Atoms (fractional coordinates):
Ca (0.500, 0.769, 0.765)
Zr (0.000, 0.501, 0.445)
Ta (0.000, 0.037, 0.048)
Ta (0.500, 0.192, 0.243)

Results
The size of the total moment is 0.000 μB per cell. The energy relative to the elements is 0.42 eV/atom. As for the space-group type: Pm (6). The total energy comes out at -8.139 eV/atom.

No. 4
CaZrTa2 | PBE-GGA | relaxed

Cell lengths 3.629, 3.629, 7.167 Å; angles 90.00, 90.00, 90.00 degrees
Atoms (fractional coordinates):
Ca (0.500, 0.500, 0.750)
Zr (0.500, 0.500, 0.250)
Ta (0.000, 0.000, 0.062)
Ta (0.000, 0.000, 0.438)

Results
The size of the total moment is 0.000 μB per cell. The energy relative to the elements is 0.51 eV/atom. As for the space-group type: P4/mmm (123). The total energy comes out at -8.050 eV/atom.

No. 5
Ca2ZrTa | PBE-GGA | relaxed

Cell lengths 5.365, 4.381, 4.381 Å; angles 90.00, 90.00, 90.00 degrees
Last column: magnetic moment on the atom in μB.
Atoms (fractional coordinates):
Ca (0.000, 0.000, 0.000)  0.03
Ca (0.000, 0.500, 0.500)  0.03
Zr (0.500, 0.000, 0.500)  0.27
Ta (0.500, 0.500, 0.000)  0.50

Results
The size of the total moment is 1.461 μB per cell. The energy relative to the elements is 0.70 eV/atom. As for the space-group type: P4/mmm (123). The total energy comes out at -5.403 eV/atom.

No. 6
CaZrTa2 | PBE-GGA | relaxed

Cell lengths 4.959, 4.177, 4.177 Å; angles 90.00, 90.00, 90.00 degrees
Atoms (fractional coordinates):
Ca (0.500, 0.000, 0.500)
Zr (0.500, 0.500, 0.000)
Ta (0.000, 0.000, 0.000)
Ta (0.000, 0.500, 0.500)

Results
The size of the total moment is 0.000 μB per cell. The energy relative to the elements is 0.63 eV/atom. As for the space-group type: P4/mmm (123). The total energy comes out at -7.930 eV/atom.

No. 7
CaZr2Ta | PBE-GGA | relaxed

Cell lengths 5.274, 5.274, 6.316 Å; angles 85.28, 85.28, 33.90 degrees
Atoms (fractional coordinates):
Ca (0.750, 0.750, 0.750)
Zr (0.986, 0.986, 0.045)
Zr (0.514, 0.514, 0.455)
Ta (0.250, 0.250, 0.250)

Results
The size of the total moment is 0.000 μB per cell. The energy relative to the elements is 0.36 eV/atom. As for the space-group type: C2/m (12). The total energy comes out at -7.379 eV/atom.

No. 8
CaZr2Ta | PBE-GGA | relaxed

Cell lengths 5.079, 5.079, 5.079 Å; angles 60.00, 60.00, 60.00 degrees
Last column: magnetic moment on the atom in μB.
Atoms (fractional coordinates):
Ca (0.500, 0.500, 0.500)  0.00
Zr (0.000, 0.000, 0.000)  -0.03
Zr (0.250, 0.250, 0.250)  -0.19
Ta (0.750, 0.750, 0.750)  0.26

Results
The size of the total moment is 0.062 μB per cell. The energy relative to the elements is 0.57 eV/atom. As for the space-group type: F-43m (216). The total energy comes out at -7.163 eV/atom.

No. 9
CaZrTa2 | PBE-GGA | relaxed

Cell lengths 4.892, 2.961, 6.573 Å; angles 74.01, 90.00, 90.00 degrees
Atoms (fractional coordinates):
Ca (0.500, 0.750, 0.750)
Zr (0.500, 0.250, 0.250)
Ta (0.000, 0.002, 0.048)
Ta (0.000, 0.498, 0.452)

Results
The size of the total moment is 0.000 μB per cell. The energy relative to the elements is 0.51 eV/atom. As for the space-group type: P2/m (10). The total energy comes out at -8.053 eV/atom.

No. 10
CaZr2Ta | PBE-GGA | relaxed

Cell lengths 4.783, 4.781, 4.056 Å; angles 90.00, 90.00, 90.00 degrees
Atoms (fractional coordinates):
Ca (0.500, 0.000, 0.500)
Zr (0.000, 0.000, 0.000)
Zr (0.500, 0.500, 0.000)
Ta (0.000, 0.500, 0.500)

Results
The size of the total moment is 0.000 μB per cell. The energy relative to the elements is 0.50 eV/atom. As for the space-group type: P4/mmm (123). The total energy comes out at -7.237 eV/atom.

No. 11
CaZr2Ta | PBE-GGA | relaxed

Cell lengths 3.675, 3.675, 7.504 Å; angles 90.00, 90.00, 90.00 degrees
Atoms (fractional coordinates):
Ca (0.000, 0.000, 0.524)
Zr (0.000, 0.000, 0.972)
Zr (0.500, 0.500, 0.193)
Ta (0.500, 0.500, 0.810)

Results
The size of the total moment is 0.001 μB per cell. The energy relative to the elements is 0.36 eV/atom. As for the space-group type: P4mm (99). The total energy comes out at -7.374 eV/atom.

No. 12
CaZr2Ta | PBE-GGA | relaxed

Cell lengths 5.586, 5.586, 5.586 Å; angles 132.26, 132.26, 69.81 degrees
Atoms (fractional coordinates):
Ca (0.500, 0.500, 0.000)
Zr (0.000, 0.000, 0.000)
Zr (0.250, 0.750, 0.500)
Ta (0.750, 0.250, 0.500)

Results
The size of the total moment is 0.000 μB per cell. The energy relative to the elements is 0.51 eV/atom. As for the space-group type: I-4m2 (119). The total energy comes out at -7.224 eV/atom.

No. 13
CaZr2Ta | PBE-GGA | relaxed

Cell lengths 4.758, 3.080, 6.829 Å; angles 76.44, 90.00, 90.00 degrees
Atoms (fractional coordinates):
Ca (0.500, 0.250, 0.250)
Zr (0.000, 0.992, 0.953)
Zr (0.000, 0.508, 0.547)
Ta (0.500, 0.750, 0.750)

Results
The size of the total moment is 0.000 μB per cell. The energy relative to the elements is 0.36 eV/atom. As for the space-group type: P2/m (10). The total energy comes out at -7.381 eV/atom.

No. 14
Ca2ZrTa | PBE-GGA | relaxed

Cell lengths 6.077, 6.077, 5.567 Å; angles 81.16, 81.16, 30.32 degrees
Atoms (fractional coordinates):
Ca (0.008, 0.008, 0.992)
Ca (0.492, 0.492, 0.508)
Zr (0.250, 0.250, 0.250)
Ta (0.750, 0.750, 0.750)

Results
The size of the total moment is 0.000 μB per cell. The energy relative to the elements is 0.62 eV/atom. As for the space-group type: C2/m (12). The total energy comes out at -5.481 eV/atom.

No. 15
Ca2ZrTa | PBE-GGA | relaxed

Cell lengths 5.315, 5.315, 5.315 Å; angles 60.00, 60.00, 60.00 degrees
Last column: magnetic moment on the atom in μB.
Atoms (fractional coordinates):
Ca (0.250, 0.250, 0.250)  0.04
Ca (0.750, 0.750, 0.750)  0.04
Zr (0.000, 0.000, 0.000)  -0.32
Ta (0.500, 0.500, 0.500)  1.04

Results
The size of the total moment is 1.270 μB per cell. The energy relative to the elements is 0.97 eV/atom. As for the space-group type: Fm-3m (225). The total energy comes out at -5.134 eV/atom.

No. 16
CaZrTa2 | PBE-GGA | relaxed

Cell lengths 2.972, 2.972, 10.254 Å; angles 90.00, 90.00, 90.00 degrees
Atoms (fractional coordinates):
Ca (0.500, 0.500, 0.762)
Zr (0.000, 0.000, 0.462)
Ta (0.000, 0.000, 0.032)
Ta (0.500, 0.500, 0.244)

Results
The size of the total moment is 0.000 μB per cell. The energy relative to the elements is 0.42 eV/atom. As for the space-group type: P4mm (99). The total energy comes out at -8.146 eV/atom.

No. 17
CaZr2Ta | PBE-GGA | relaxed

Cell lengths 3.064, 3.064, 10.453 Å; angles 90.00, 90.00, 103.70 degrees
Atoms (fractional coordinates):
Ca (0.000, 0.000, 0.515)
Zr (0.000, 0.000, 0.987)
Zr (0.500, 0.500, 0.223)
Ta (0.500, 0.500, 0.775)

Results
The size of the total moment is 0.000 μB per cell. The energy relative to the elements is 0.37 eV/atom. As for the space-group type: Cmm2 (35). The total energy comes out at -7.373 eV/atom.

No. 18
CaZrTa2 | PBE-GGA | relaxed

Cell lengths 3.021, 3.021, 10.356 Å; angles 90.00, 90.00, 108.44 degrees
Atoms (fractional coordinates):
Ca (0.500, 0.500, 0.765)
Zr (0.000, 0.000, 0.465)
Ta (0.000, 0.000, 0.032)
Ta (0.500, 0.500, 0.238)

Results
The size of the total moment is 0.000 μB per cell. The energy relative to the elements is 0.36 eV/atom. As for the space-group type: Cmm2 (35). The total energy comes out at -8.208 eV/atom.

No. 19
CaZrTa2 | PBE-GGA | relaxed

Cell lengths 2.965, 2.965, 10.366 Å; angles 90.00, 90.00, 106.14 degrees
Atoms (fractional coordinates):
Ca (0.500, 0.500, 0.750)
Zr (0.500, 0.500, 0.250)
Ta (0.000, 0.000, 0.021)
Ta (0.000, 0.000, 0.479)

Results
The size of the total moment is 0.000 μB per cell. The energy relative to the elements is 0.47 eV/atom. As for the space-group type: Cmmm (65). The total energy comes out at -8.090 eV/atom.

No. 20
Ca2ZrTa | PBE-GGA | relaxed

Cell lengths 8.635, 8.635, 6.778 Å; angles 50.43, 50.43, 90.00 degrees
Last column: magnetic moment on the atom in μB.
Atoms (fractional coordinates):
Ca (0.638, 0.125, 0.250)  0.07
Ca (0.112, 0.625, 0.250)  0.07
Ca (0.375, 0.362, 0.750)  0.07
Ca (0.875, 0.888, 0.750)  0.07
Zr (0.500, 0.500, 0.000)  0.10
Zr (0.250, 0.750, 0.500)  0.10
Ta (0.000, 0.000, 0.000)  0.73
Ta (0.750, 0.250, 0.500)  0.73

Results
The size of the total moment is 3.055 μB per cell. The energy relative to the elements is 1.13 eV/atom. As for the space-group type: I-42d (122). The total energy comes out at -4.970 eV/atom.